[1]
Computed, not measured: a geometry-optimized AgBiNF2 structure at the PBE level of DFT.

The calculation puts the magnetic moment at 0.00 μB/atom. The space-group type is P4/mmm, No. 123. The calculation puts the excess energy over the best structure of this formula in the dataset at 0 meV per atom. The energy relative to the elements, uncorrected comes out at -0.4189 eV per atom.

a = 4.556 Å, b = 4.556 Å, c = 4.291 Å
α = 90.00°, β = 90.00°, γ = 90.00°
Fractional coordinates of all 5 atoms:
F: 0.500 0.000 0.000
N: 0.000 0.000 0.500
Bi: 0.000 0.000 0.000
F: 0.000 0.500 0.000
Ag: 0.500 0.500 0.500

***

[2]
Computed, not measured: a geometry-optimized Pm3MgIn2 structure at the PBE level of DFT.

Its formation energy is -226 kJ/mol of formula units. The calculation puts the magnetic moment at 0.00 μB/atom. The space-group type is P-3m1, No. 164. The calculation puts the excess energy over the best structure of this formula in the dataset at 0 meV per atom.

a = 5.448 Å, b = 5.448 Å, c = 13.333 Å
α = 90.00°, β = 90.00°, γ = 120.00°
Fractional coordinates of all 12 atoms:
In: 0.333 0.667 0.175
In: 0.000 0.000 0.000
Mg: 0.667 0.333 0.332
Pm: 0.000 0.000 0.752
Pm: 0.667 0.333 0.582
Pm: 0.333 0.667 0.919
Pm: 0.333 0.667 0.418
Pm: 0.000 0.000 0.248
Pm: 0.667 0.333 0.081
Mg: 0.333 0.667 0.668
In: 0.667 0.333 0.825
In: 0.000 0.000 0.500

***

[3]
Computed, not measured: a geometry-optimized Ta2ReRu structure at the PBE level of DFT.

Its formation energy is 5 kJ/mol of formula units. The calculation puts the magnetic moment at 0.00 μB/atom. The space-group type is R-3m, No. 166.

a = 8.571 Å, b = 8.571 Å, c = 8.571 Å
α = 20.35°, β = 20.35°, γ = 20.35°
Fractional coordinates of all 4 atoms:
Ru: 0.750 0.750 0.750
Ta: 0.001 0.001 0.001
Re: 0.250 0.250 0.250
Ta: 0.499 0.499 0.499

***

[4]
Computed, not measured: a geometry-optimized CoOsAu2 structure at the PBE level of DFT.

Its formation energy is 196 kJ/mol of formula units. The calculation puts the magnetic moment at 0.52 μB/atom. The space-group type is Imm2, No. 44. The calculation puts the excess energy over the best structure of this formula in the dataset at 236 meV per atom.

a = 5.558 Å, b = 5.558 Å, c = 5.558 Å
α = 151.71°, β = 128.94°, γ = 59.40°
Fractional coordinates of all 4 atoms:
Au: 0.010 0.010 0.000
Au: 0.733 0.233 0.500
Os: 0.273 0.773 0.500
Co: 0.484 0.484 0.000

***

[5]
Computed, not measured: a geometry-optimized Sm4InGaAg2 structure at the PBE level of DFT.

Its formation energy is -312 kJ/mol of formula units. The calculation puts the magnetic moment at 0.06 μB/atom. The space-group type is R-3m, No. 166.

a = 5.289 Å, b = 5.289 Å, c = 9.153 Å
α = 73.21°, β = 73.21°, γ = 60.00°
Fractional coordinates of all 8 atoms:
Sm: 0.380 0.380 0.861
Sm: 0.129 0.129 0.612
Ag: 0.745 0.745 0.766
Sm: 0.620 0.620 0.139
Ag: 0.255 0.255 0.234
Ga: 0.500 0.500 0.500
In: 0.000 0.000 0.000
Sm: 0.871 0.871 0.388

***

[6]
Computed, not measured: a geometry-optimized RePtSe2 structure at the PBE level of DFT.

The calculation puts the magnetic moment at 0.00 μB/atom. The space-group type is Cm, No. 8. The calculation puts the excess energy over the best structure of this formula in the dataset at 0 meV per atom. The energy relative to the elements, uncorrected comes out at 0.0880 eV per atom.

a = 5.215 Å, b = 5.215 Å, c = 6.664 Å
α = 72.97°, β = 72.97°, γ = 33.33°
Fractional coordinates of all 4 atoms:
Pt: 0.562 0.562 0.322
Se: 0.748 0.748 0.677
Re: 0.263 0.263 0.383
Se: 0.927 0.927 0.118

***

[7]
Computed, not measured: a geometry-optimized MgSn2Te3 structure at the PBE level of DFT.

The calculation puts the magnetic moment at 0.00 μB/atom. The space-group type is Fddd, No. 70. The energy relative to the elements, uncorrected comes out at -0.4447 eV per atom.

a = 7.691 Å, b = 7.691 Å, c = 14.036 Å
α = 100.48°, β = 100.48°, γ = 109.66°
Fractional coordinates of all 24 atoms:
Mg: 0.166 0.666 0.333
Sn: 0.832 0.332 0.665
Sn: 0.000 0.500 0.999
Sn: 0.500 0.000 0.001
Te: 0.769 0.769 0.000
Te: 0.928 0.914 0.327
Te: 0.231 0.231 0.000
Te: 0.481 0.981 0.500
Te: 0.398 0.413 0.327
Te: 0.164 0.678 0.827
Te: 0.852 0.337 0.173
Sn: 0.418 0.418 0.835
Mg: 0.916 0.916 0.833
Mg: 0.084 0.084 0.167
Mg: 0.334 0.834 0.667
Te: 0.322 0.836 0.173
Sn: 0.250 0.250 0.501
Sn: 0.668 0.168 0.335
Sn: 0.750 0.750 0.499
Te: 0.019 0.519 0.500
Te: 0.086 0.072 0.673
Sn: 0.582 0.582 0.165
Te: 0.663 0.148 0.827
Te: 0.587 0.602 0.673

***

[8]
Computed, not measured: a geometry-optimized Tl2CrW structure at the PBE level of DFT.

Its formation energy is 388 kJ/mol of formula units. The calculation puts the magnetic moment at 0.92 μB/atom. The space-group type is Pmmm, No. 47. The calculation puts the excess energy over the best structure of this formula in the dataset at 406 meV per atom.

a = 3.022 Å, b = 4.196 Å, c = 6.183 Å
α = 90.00°, β = 90.00°, γ = 90.00°
Fractional coordinates of all 4 atoms:
W: 0.500 0.500 0.250
Cr: 0.500 0.500 0.750
Tl: 0.000 0.000 0.500
Tl: 0.000 0.000 0.000